[1]
{
  "formula": "HfMgPd2",
  "functional": "GGA-PBE",
  "state": "optimized geometry",
  "spacegroup": "Cmmm",
  "dft_energy_ev_per_atom": -6.148,
  "lattice": [[6.6861, 0.0000, 0.0000], [0.0000, 6.7513, 0.0000], [0.0000, 0.0000, 6.0942]],
  "species": ["Hf", "Hf", "Hf", "Hf", "Mg", "Mg", "Mg", "Mg", "Pd", "Pd", "Pd", "Pd", "Pd", "Pd", "Pd", "Pd"],
  "fractional_positions": [[0.7500, 0.2500, 0.0000], [0.2500, 0.7500, 0.0000], [0.2500, 0.7500, 0.5000], [0.7500, 0.2500, 0.5000], [0.2500, 0.2500, 0.0000], [0.7500, 0.7500, 0.0000], [0.2500, 0.2500, 0.5000], [0.7500, 0.7500, 0.5000], [0.5000, 0.5000, 0.2500], [0.5000, 0.0000, 0.2500], [0.0000, 0.5000, 0.2500], [0.0000, 0.0000, 0.2500], [0.0000, 0.5000, 0.7500], [0.0000, 0.0000, 0.7500], [0.5000, 0.5000, 0.7500], [0.5000, 0.0000, 0.7500]]
}

---

[2]
{
  "formula": "HfMgPd2",
  "functional": "GGA-PBE",
  "state": "optimized geometry",
  "spacegroup": "P6_3/mmc",
  "dft_energy_ev_per_atom": -6.063,
  "lattice": [[2.2520, -3.9006, 0.0000], [2.2520, 3.9006, 0.0000], [0.0000, 0.0000, 8.3508]],
  "species": ["Hf", "Hf", "Mg", "Mg", "Pd", "Pd", "Pd", "Pd"],
  "fractional_positions": [[0.0000, 0.0000, 0.0000], [0.0000, 0.0000, 0.5000], [0.3333, 0.6667, 0.2500], [0.6667, 0.3333, 0.7500], [0.6667, 0.3333, 0.0888], [0.6667, 0.3333, 0.4112], [0.3333, 0.6667, 0.5888], [0.3333, 0.6667, 0.9112]]
}

---

[3]
{
  "formula": "HfMgSb2Pd2",
  "functional": "GGA-PBE",
  "state": "optimized geometry",
  "spacegroup": "I-42d",
  "dft_energy_ev_per_atom": -5.734,
  "lattice": [[7.1038, -3.1649, 0.0000], [7.1038, 3.1649, 0.0000], [-2.8201, 0.0000, 5.6669]],
  "species": ["Hf", "Hf", "Mg", "Mg", "Pd", "Pd", "Pd", "Pd", "Sb", "Sb", "Sb", "Sb"],
  "fractional_positions": [[0.7500, 0.5000, 0.3750], [0.5000, 0.2500, 0.6250], [0.0000, 0.7500, 0.1250], [0.2500, 0.0000, 0.8750], [0.8672, 0.1328, 0.0000], [0.6250, 0.8750, 0.2578], [0.3828, 0.6172, 0.5000], [0.1250, 0.3750, 0.7422], [0.4970, 0.2470, 0.1220], [0.2470, 0.9970, 0.3720], [0.0030, 0.7530, 0.6280], [0.7530, 0.5030, 0.8780]]
}

---

[4]
{
  "formula": "HfMgZn2Pd4",
  "functional": "GGA-PBE",
  "state": "optimized geometry",
  "spacegroup": "P4/mmm",
  "dft_energy_ev_per_atom": -5.019,
  "lattice": [[-0.0039, 3.9699, 2.2774], [-2.7997, -1.8037, 3.1393], [4.7789, -1.8353, 3.2075]],
  "species": ["Hf", "Mg", "Pd", "Pd", "Pd", "Pd", "Zn", "Zn"],
  "fractional_positions": [[0.0000, 0.0000, 0.5000], [0.5000, 0.5000, 0.0000], [0.5000, 0.0000, 0.2456], [0.0000, 0.5000, 0.2456], [0.5000, 0.0000, 0.7544], [0.0000, 0.5000, 0.7544], [0.0000, 0.0000, 0.0000], [0.5000, 0.5000, 0.5000]]
}

---

[5]
{
  "formula": "PrHfMg",
  "functional": "GGA-PBE",
  "state": "optimized geometry",
  "spacegroup": "F-43m",
  "dft_energy_ev_per_atom": -4.359,
  "lattice": [[0.0000, 3.6248, 3.6248], [3.6248, 0.0000, 3.6248], [3.6248, 3.6248, 0.0000]],
  "species": ["Hf", "Mg", "Pr"],
  "fractional_positions": [[0.2500, 0.2500, 0.2500], [0.7500, 0.7500, 0.7500], [0.0000, 0.0000, 0.0000]]
}

---

[6]
{
  "formula": "PrHfMg",
  "functional": "GGA-PBE",
  "state": "optimized geometry",
  "spacegroup": "F-43m",
  "dft_energy_ev_per_atom": -4.690,
  "lattice": [[-4.2104, -2.7409, -0.3722], [-3.1521, -0.3194, 3.9167], [-4.4855, 2.2858, -0.1837]],
  "species": ["Hf", "Mg", "Pr"],
  "fractional_positions": [[0.2500, 0.2500, 0.2500], [0.0000, 0.0000, 0.0000], [0.7500, 0.7500, 0.7500]]
}

---

[7]
{
  "formula": "Hf2Mg2Pt3",
  "functional": "GGA-PBE",
  "state": "optimized geometry",
  "spacegroup": "R3m",
  "dft_energy_ev_per_atom": -6.791,
  "lattice": [[3.6275, -3.7347, 5.7766], [-0.1787, -2.0160, 7.5087], [-0.3136, -5.8493, 5.1151]],
  "species": ["Hf", "Hf", "Mg", "Mg", "Pt", "Pt", "Pt"],
  "fractional_positions": [[0.2468, 0.2468, 0.2468], [0.7525, 0.7525, 0.7525], [0.0038, 0.0038, 0.0038], [0.4974, 0.4974, 0.4974], [0.3742, 0.3742, 0.3742], [0.6253, 0.6253, 0.6253], [0.8751, 0.8751, 0.8751]]
}

---

[8]
{
  "formula": "Hf2MgPt3",
  "functional": "GGA-PBE",
  "state": "optimized geometry",
  "spacegroup": "P4mm",
  "dft_energy_ev_per_atom": -7.560,
  "lattice": [[-1.4046, 0.1447, -3.2121], [3.1076, -0.8386, -1.3967], [-2.0456, -8.4374, 0.5145]],
  "species": ["Hf", "Hf", "Mg", "Pt", "Pt", "Pt"],
  "fractional_positions": [[0.5000, 0.5000, 0.0244], [0.0000, 0.0000, 0.4848], [0.0000, 0.0000, 0.8182], [0.0000, 0.0000, 0.1478], [0.5000, 0.5000, 0.3463], [0.5000, 0.5000, 0.6786]]
}

---

[9]
{
  "formula": "HfMgPt",
  "functional": "GGA-PBE",
  "state": "optimized geometry",
  "spacegroup": "F-43m",
  "dft_energy_ev_per_atom": -5.853,
  "lattice": [[0.0000, 3.1821, 3.1821], [3.1821, 0.0000, 3.1821], [3.1821, 3.1821, 0.0000]],
  "species": ["Hf", "Mg", "Pt"],
  "fractional_positions": [[0.0000, 0.0000, 0.0000], [0.2500, 0.2500, 0.2500], [0.7500, 0.7500, 0.7500]]
}

---

[10]
{
  "formula": "HfMgSb2Pt2",
  "functional": "GGA-PBE",
  "state": "optimized geometry",
  "spacegroup": "I-42d",
  "dft_energy_ev_per_atom": -6.172,
  "lattice": [[6.3479, 0.0000, 0.0000], [0.0000, 6.3479, 0.0000], [3.1740, 3.1740, 6.3728]],
  "species": ["Hf", "Hf", "Mg", "Mg", "Pt", "Pt", "Pt", "Pt", "Sb", "Sb", "Sb", "Sb"],
  "fractional_positions": [[0.5000, 0.5000, 0.0000], [0.7500, 0.2500, 0.5000], [0.0000, 0.0000, 0.0000], [0.2500, 0.7500, 0.5000], [0.6250, 0.6133, 0.2500], [0.1250, 0.1367, 0.2500], [0.3867, 0.8750, 0.7500], [0.8633, 0.3750, 0.7500], [0.4952, 0.9952, 0.0097], [0.7548, 0.7548, 0.4903], [0.2452, 0.2452, 0.5097], [0.0048, 0.5048, 0.9903]]
}

---

[11]
{
  "formula": "HfMg2ScZn2Pt2",
  "functional": "GGA-PBE",
  "state": "optimized geometry",
  "spacegroup": "P-4m2",
  "dft_energy_ev_per_atom": -4.746,
  "lattice": [[-0.8754, 0.2524, -4.4370], [3.9656, -1.9970, -0.8960], [-2.8517, -5.7681, 0.2345]],
  "species": ["Hf", "Mg", "Mg", "Pt", "Pt", "Sc", "Zn", "Zn"],
  "fractional_positions": [[0.0000, 0.0000, 0.0000], [0.0000, 0.5000, 0.2564], [0.5000, 0.0000, 0.7436], [0.5000, 0.5000, 0.0000], [0.0000, 0.0000, 0.5000], [0.5000, 0.5000, 0.5000], [0.5000, 0.0000, 0.2506], [0.0000, 0.5000, 0.7494]]
}

---

[12]
{
  "formula": "SrHfMgPt",
  "functional": "GGA-PBE",
  "state": "optimized geometry",
  "spacegroup": "F-43m",
  "dft_energy_ev_per_atom": -4.905,
  "lattice": [[-0.5841, 2.9601, 4.0558], [1.9057, 4.6820, 0.0075], [-3.0970, 3.9898, -0.2078]],
  "species": ["Hf", "Mg", "Pt", "Sr"],
  "fractional_positions": [[0.5000, 0.5000, 0.5000], [0.7500, 0.7500, 0.7500], [0.2500, 0.2500, 0.2500], [0.0000, 0.0000, 0.0000]]
}